No. 1
Material: YSiAu
Method: DFT, PBE
State: optimized geometry

Lattice parameters (Å, degrees): 5.745 5.745 5.745 145.27 145.27 49.94
Fractional positions:
Y (0.000, 0.000, 0.000)
Si (0.689, 0.689, 0.000)
Au (0.315, 0.315, 0.000)

Calculated values
V, Å³/f.u.: 61.3
Crystal system: tetragonal
Space group: I4mm
Fermi-level density of states, states/eV/f.u.: 2.1
Formation energy (no corrections), eV per atom: -0.386

No. 2
Material: YSiAu
Method: DFT, PBE
State: optimized geometry

Lattice parameters (Å, degrees): 5.758 5.758 5.758 134.40 98.02 99.25
Fractional positions:
Y (0.000, 0.000, 0.000)
Y (0.500, 0.000, 0.500)
Si (0.433, 0.683, 0.750)
Si (0.567, 0.317, 0.250)
Au (0.108, 0.358, 0.750)
Au (0.892, 0.642, 0.250)

Calculated values
V, Å³/f.u.: 62.9
Crystal system: orthorhombic
Space group: Imma
Fermi-level density of states, states/eV/f.u.: 1.5
Formation energy (no corrections), eV per atom: -0.715

No. 3
Material: YSiAu2
Method: DFT, PBE
State: optimized geometry

Lattice parameters (Å, degrees): 8.875 8.875 8.875 148.60 148.60 45.01
Fractional positions:
Y (0.000, 0.000, 0.000)
Y (0.750, 0.250, 0.500)
Si (0.250, 0.750, 0.500)
Si (0.500, 0.500, 0.000)
Au (0.225, 0.625, 0.100)
Au (0.375, 0.475, 0.600)
Au (0.525, 0.125, 0.900)
Au (0.875, 0.775, 0.400)

Calculated values
V, Å³/f.u.: 94.6
Crystal system: tetragonal
Space group: I-42d
Fermi-level density of states, states/eV/f.u.: 2.9
Formation energy (no corrections), eV per atom: -0.361

No. 4
Material: YSiAu
Method: DFT, PBE
State: optimized geometry

Lattice parameters (Å, degrees): 5.802 5.802 7.520 130.40 130.40 43.48
Fractional positions:
Y (0.239, 0.239, 0.239)
Y (0.761, 0.761, 0.761)
Si (0.000, 0.000, 0.344)
Si (0.000, 0.000, 0.656)
Au (0.500, 0.500, 0.185)
Au (0.500, 0.500, 0.815)

Calculated values
V, Å³/f.u.: 62.4
Crystal system: monoclinic
Space group: C2/m
Fermi-level density of states, states/eV/f.u.: 1.0
Formation energy (no corrections), eV per atom: -0.809

No. 5
Material: YSiAu2
Method: DFT, PBE
State: optimized geometry

Lattice parameters (Å, degrees): 3.495 4.503 5.304 90.00 90.00 90.00
Fractional positions:
Y (0.000, 0.000, 0.000)
Si (0.500, 0.500, 0.263)
Au (0.500, 0.000, 0.473)
Au (0.500, 0.500, 0.782)

Calculated values
V, Å³/f.u.: 83.5
Crystal system: orthorhombic
Space group: Pmm2
Fermi-level density of states, states/eV/f.u.: 1.5
Formation energy (no corrections), eV per atom: -0.524

No. 6
Material: Y4SiAu
Method: DFT, PBE
State: optimized geometry

Lattice parameters (Å, degrees): 6.099 6.099 6.099 60.00 60.00 60.00
Fractional positions:
Y (0.376, 0.376, 0.376)
Y (0.376, 0.376, 0.873)
Y (0.376, 0.873, 0.376)
Y (0.873, 0.376, 0.376)
Si (0.750, 0.750, 0.750)
Au (0.000, 0.000, 0.000)

Calculated values
V, Å³/f.u.: 160.4
Crystal system: cubic
Space group: F-43m
Fermi-level density of states, states/eV/f.u.: 7.0
Formation energy (no corrections), eV per atom: 0.424

No. 7
Material: YSi2Au
Method: DFT, PBE
State: optimized geometry

Lattice parameters (Å, degrees): 3.554 3.554 6.214 90.00 90.00 90.00
Fractional positions:
Y (0.000, 0.000, 0.000)
Si (0.500, 0.500, 0.310)
Si (0.500, 0.500, 0.690)
Au (0.000, 0.000, 0.500)

Calculated values
V, Å³/f.u.: 78.5
Crystal system: tetragonal
Space group: P4/mmm
Fermi-level density of states, states/eV/f.u.: 2.8
Formation energy (no corrections), eV per atom: -0.146

No. 8
Material: YSiAu
Method: DFT, PBE
State: optimized geometry

Lattice parameters (Å, degrees): 3.879 4.280 7.517 90.00 90.00 90.00
Fractional positions:
Y (0.000, 0.000, 0.000)
Y (0.000, 0.500, 0.500)
Si (0.500, 0.000, 0.344)
Si (0.500, 0.000, 0.656)
Au (0.500, 0.500, 0.182)
Au (0.500, 0.500, 0.818)

Calculated values
V, Å³/f.u.: 62.4
Crystal system: orthorhombic
Space group: Pmmm
Fermi-level density of states, states/eV/f.u.: 1.3
Formation energy (no corrections), eV per atom: -0.810